Entry 1:
NiPtPb2 | the Alexandria database | GGA-PBE | relaxed; DFT formation energy = 0.00 eV/f.u.; mass density = 11.78 g/cm3; E_tot = -4.81 eV per atom; DOS at the Fermi energy = 3.43 states/eV/f.u.
1.0
4.184 -0.059 0.049
2.130 3.602 0.049
2.037 1.143 6.231
Ni Pb Pt
1 2 1
Direct
0.226 0.226 0.321
0.967 0.967 0.097
0.778 0.778 0.668
0.529 0.529 0.414

---

Entry 2:
Ni2PtPb | the Alexandria database | GGA-PBE | relaxed; DFT formation energy = 0.63 eV/f.u.; mass density = 13.71 g/cm3; E_tot = -5.17 eV per atom; DOS at the Fermi energy = 4.97 states/eV/f.u.
1.0
-0.413 -3.420 -0.457
2.951 -0.223 -1.001
4.728 -1.164 4.438
Ni Pb Pt
2 1 1
Direct
0.000 0.033 0.967
0.000 0.467 0.533
0.500 0.250 0.250
0.500 0.750 0.750

---

Entry 3:
NiPtPb2 | the Alexandria database | GGA-PBE | relaxed; DFT formation energy = 0.70 eV/f.u.; mass density = 13.62 g/cm3; E_tot = -4.63 eV per atom; DOS at the Fermi energy = 2.80 states/eV/f.u.
1.0
-2.935 0.645 1.673
-1.719 0.019 -3.023
-2.384 -6.674 -1.609
Ni Pb Pt
1 2 1
Direct
0.500 0.750 0.750
0.000 0.980 0.994
0.000 0.520 0.506
0.500 0.250 0.250

---

Entry 4:
NiPt3Pb | the Alexandria database | GGA-PBE | relaxed; DFT formation energy = 8.03 eV/f.u.; mass density = 10.95 g/cm3; E_tot = -3.92 eV per atom; DOS at the Fermi energy = 9.14 states/eV/f.u.
1.0
-3.399 -3.646 0.832
1.490 -0.290 4.819
-3.429 3.487 1.270
Pb Ni Pt
1 1 3
Direct
0.000 0.000 0.000
0.500 0.500 0.500
0.000 0.500 0.000
0.000 0.000 0.500
0.500 0.000 0.000

---

Entry 5:
NiPtRhPb | the Alexandria database | GGA-PBE | relaxed; DFT formation energy = 0.30 eV/f.u.; mass density = 14.52 g/cm3; E_tot = -5.64 eV per atom; DOS at the Fermi energy = 4.23 states/eV/f.u.
1.0
-0.459 -3.556 -2.721
0.641 -4.157 1.602
-3.502 -2.782 0.504
Pb Ni Rh Pt
1 1 1 1
Direct
0.750 0.750 0.750
0.500 0.500 0.500
0.000 0.000 0.000
0.250 0.250 0.250

---

Entry 6:
ScNiPtPb | the Alexandria database | GGA-PBE | relaxed; DFT formation energy = -1.88 eV/f.u.; mass density = 11.77 g/cm3; E_tot = -5.93 eV per atom; DOS at the Fermi energy = 2.78 states/eV/f.u.
1.0
4.656 0.000 0.000
2.328 4.032 0.000
2.328 1.344 3.802
Pb Ni Sc Pt
1 1 1 1
Direct
0.750 0.750 0.750
0.000 0.000 0.000
0.250 0.250 0.250
0.500 0.500 0.500

---

- Which value of E_tot does entry 6 give?
  -5.93 eV per atom

---

- The highest E_tot belongs to which entry?
  NiPt3Pb

---

- Which of these has the lowest DFT formation energy?
  ScNiPtPb

---

- The lowest DFT formation energy belongs to which entry?
  ScNiPtPb